# CdInCl GGA-PBE optimized geometry
data_CdInCl
_cell_length_a 3.797
_cell_length_b 5.861
_cell_length_c 14.351
_cell_angle_alpha 90.00
_cell_angle_beta 90.00
_cell_angle_gamma 90.00
_symmetry_space_group_name_H-M 'F m m 2'
_symmetry_Int_Tables_number 42
_symmetry_space_group_name_Hall 'F 2 -2'
loop_
_atom_site_label
_atom_site_type_symbol
_atom_site_fract_x
_atom_site_fract_y
_atom_site_fract_z
Cd1 Cd 0.000 0.000 0.000
In1 In 0.000 0.000 0.689
Cl1 Cl 0.000 0.000 0.357
# **Excess energy over the best structure of this formula in the dataset**: 22.5 meV/atom

***

# Y2Be2Cu GGA-PBE optimized geometry
data_Y2Be2Cu
_cell_length_a 6.786
_cell_length_b 6.786
_cell_length_c 4.035
_cell_angle_alpha 90.00
_cell_angle_beta 90.00
_cell_angle_gamma 90.00
_symmetry_space_group_name_H-M 'P 4/m b m'
_symmetry_Int_Tables_number 127
_symmetry_space_group_name_Hall '-P 4 2ab'
loop_
_atom_site_label
_atom_site_type_symbol
_atom_site_fract_x
_atom_site_fract_y
_atom_site_fract_z
Y1 Y 0.179 0.321 0.000
Be1 Be 0.115 0.615 0.500
Cu1 Cu 0.000 0.000 0.500
# **Formation enthalpy at 0 K**: 50 meV/atom